# 1
Computed, not measured: an optimized crystal structure of YScSn at the PBE level of DFT.

The space group is I4mm (No. 107) and the conventional cell measures 3.806, 3.806 and 10.730 Å, with angles of 90.00, 90.00 and 90.00 degrees. The inequivalent atoms are Y at (0.000, 0.000, 0.000), Sc at (0.000, 0.000, 0.687) and Sn at (0.000, 0.000, 0.326).

The relative energy among the computed polymorphs comes out at 237 meV/atom. The calculation puts the formation energy at -422 meV/atom. As for the energy: -36.129 eV for the cell shown.

---

# 2
Computed, not measured: an optimized crystal structure of Y2Sc2Sn7 at the PBE level of DFT.

The space group is Cmmm (No. 65) and the conventional cell measures 9.523, 10.857 and 6.304 Å, with angles of 90.00, 90.00 and 90.00 degrees. The inequivalent atoms are Y at (0.188, 0.000, 0.000), Sc at (0.000, 0.259, 0.500), Sn at (0.000, 0.000, 0.500), Sn at (0.000, 0.500, 0.236) and Sn at (0.250, 0.250, 0.233).

The calculation puts the formation energy at -180 meV/atom. As for the energy: -111.191 eV for the cell shown.